Record 1
Na4La3UTe8: relaxed, PBE-GGA.

Properties
calculated density = 5.3 g/cm3
formation energy without anion corrections = -1.24 eV per atom

CIF file:
```
data_Na4La3UTe8
_cell_length_a 9.2176
_cell_length_b 9.2176
_cell_length_c 22.5676
_cell_angle_alpha 90.00
_cell_angle_beta 90.00
_cell_angle_gamma 120.00
_symmetry_space_group_name_H-M 'R -3 m'
_symmetry_Int_Tables_number 166
_symmetry_space_group_name_Hall '-R 3 2"'
loop_
_atom_site_label
_atom_site_type_symbol
_atom_site_fract_x
_atom_site_fract_y
_atom_site_fract_z
_atom_site_occupancy
Na1 Na 0.0000 0.0000 0.0000 1
Na2 Na 0.0000 0.5000 0.0000 1
La1 La 0.0000 0.5000 0.5000 1
U1 U 0.0000 0.0000 0.5000 1
Te1 Te 0.0000 0.0000 0.2478 1
Te2 Te 0.0062 0.5031 0.2466 1
```



Record 2
Na4LaY3Te8: relaxed, PBE-GGA.

Properties
calculated density = 4.8 g/cm3
formation energy without anion corrections = -1.35 eV per atom

CIF file:
```
data_Na4LaY3Te8
_cell_length_a 8.9688
_cell_length_b 8.9688
_cell_length_c 22.6827
_cell_angle_alpha 90.00
_cell_angle_beta 90.00
_cell_angle_gamma 120.00
_symmetry_space_group_name_H-M 'R -3 m'
_symmetry_Int_Tables_number 166
_symmetry_space_group_name_Hall '-R 3 2"'
loop_
_atom_site_label
_atom_site_type_symbol
_atom_site_fract_x
_atom_site_fract_y
_atom_site_fract_z
_atom_site_occupancy
Na1 Na 0.0000 0.0000 0.0000 1
Na2 Na 0.0000 0.5000 0.0000 1
La1 La 0.0000 0.0000 0.5000 1
Y1 Y 0.0000 0.5000 0.5000 1
Te1 Te 0.0000 0.0000 0.2437 1
Te2 Te 0.0095 0.5048 0.7548 1
```



Record 3
Na2La3YTe6: relaxed, PBE-GGA.

Properties
calculated density = 5.5 g/cm3
formation energy without anion corrections = -1.42 eV per atom

CIF file:
```
data_Na2La3YTe6
_cell_length_a 7.897
_cell_length_b 13.659
_cell_length_c 7.812
_cell_angle_alpha 90.00
_cell_angle_beta 109.61
_cell_angle_gamma 90.00
_symmetry_space_group_name_H-M 'C 1 2/m 1'
_symmetry_Int_Tables_number 12
loop_
_symmetry_equiv_pos_as_xyz
'x,y,z'
'-x,-y,-z'
'-x,y,-z'
'x,-y,z'
'x+1/2,y+1/2,z'
'-x+1/2,-y+1/2,-z'
'-x+1/2,y+1/2,-z'
'x+1/2,-y+1/2,z'
loop_
_atom_site_label
_atom_site_type_symbol
_atom_site_fract_x
_atom_site_fract_y
_atom_site_fract_z
_atom_site_occupancy
Na1 Na 0.000 0.165 0.000 1
La1 La 0.000 0.000 0.500 1
La2 La 0.000 0.329 0.500 1
Y1 Y 0.000 0.500 0.000 1
Te1 Te 0.243 0.337 0.239 1
Te2 Te 0.244 0.500 0.754 1
```



Record 4
NaLa2Y3Te6: relaxed, PBE-GGA.

Properties
calculated density = 5.8 g/cm3
formation energy without anion corrections = -1.42 eV per atom

CIF file:
```
data_NaLa2Y3Te6
_cell_length_a 19.564
_cell_length_b 4.431
_cell_length_c 9.013
_cell_angle_alpha 90.00
_cell_angle_beta 104.15
_cell_angle_gamma 90.00
_symmetry_space_group_name_H-M 'C 1 2/m 1'
_symmetry_Int_Tables_number 12
loop_
_symmetry_equiv_pos_as_xyz
'x,y,z'
'-x,-y,-z'
'-x,y,-z'
'x,-y,z'
'x+1/2,y+1/2,z'
'-x+1/2,-y+1/2,-z'
'-x+1/2,y+1/2,-z'
'x+1/2,-y+1/2,z'
loop_
_atom_site_label
_atom_site_type_symbol
_atom_site_fract_x
_atom_site_fract_y
_atom_site_fract_z
_atom_site_occupancy
Na1 Na 0.000 0.000 0.000 1
La1 La 0.169 0.500 0.338 1
Y1 Y 0.000 0.000 0.500 1
Y2 Y 0.167 0.500 0.826 1
Te1 Te 0.003 0.500 0.746 1
Te2 Te 0.162 0.000 0.590 1
Te3 Te 0.168 0.000 0.071 1
```



Record 5
NaLa2Th: relaxed, PBE-GGA.

Properties
energy above the lowest structure with this stoichiometry = 0 meV/atom
calculated density = 6.1 g/cm3
energy of formation from the pure elements = 42 meV per atom

CIF file:
```
data_NaLa2Th
_cell_length_a 3.639
_cell_length_b 3.639
_cell_length_c 10.863
_cell_angle_alpha 90.00
_cell_angle_beta 90.00
_cell_angle_gamma 90.00
_symmetry_space_group_name_H-M 'P 4/m m m'
_symmetry_Int_Tables_number 123
_symmetry_space_group_name_Hall '-P 4 2'
loop_
_atom_site_label
_atom_site_type_symbol
_atom_site_fract_x
_atom_site_fract_y
_atom_site_fract_z
_atom_site_occupancy
Na1 Na 0.000 0.000 0.000 1
La1 La 0.500 0.500 0.278 1
Th1 Th 0.000 0.000 0.500 1
```



Record 6
NaLa2Th: relaxed, PBE-GGA.

Properties
energy above the lowest structure with this stoichiometry = 58 meV/atom
calculated density = 6.0 g/cm3
energy of formation from the pure elements = 100 meV per atom

CIF file:
```
data_NaLa2Th
_cell_length_a 3.6178
_cell_length_b 3.6178
_cell_length_c 38.9628
_cell_angle_alpha 90.00
_cell_angle_beta 90.00
_cell_angle_gamma 120.00
_symmetry_space_group_name_H-M 'R -3 m'
_symmetry_Int_Tables_number 166
_symmetry_space_group_name_Hall '-R 3 2"'
loop_
_atom_site_label
_atom_site_type_symbol
_atom_site_fract_x
_atom_site_fract_y
_atom_site_fract_z
_atom_site_occupancy
Na1 Na 0.0000 0.0000 0.0000 1
La1 La 0.0000 0.0000 0.0935 1
Th1 Th 0.0000 0.0000 0.5000 1
```



Record 7
NaLaTi3: relaxed, PBE-GGA.

Properties
energy above the lowest structure with this stoichiometry = 0 meV/atom
calculated density = 4.2 g/cm3
energy of formation from the pure elements = 1267 meV per atom

CIF file:
```
data_NaLaTi3
_cell_length_a 4.933
_cell_length_b 4.933
_cell_length_c 4.933
_cell_angle_alpha 90.00
_cell_angle_beta 90.00
_cell_angle_gamma 90.00
_symmetry_space_group_name_H-M 'P m -3 m'
_symmetry_Int_Tables_number 221
_symmetry_space_group_name_Hall '-P 4 2 3'
loop_
_atom_site_label
_atom_site_type_symbol
_atom_site_fract_x
_atom_site_fract_y
_atom_site_fract_z
_atom_site_occupancy
Na1 Na 0.000 0.000 0.000 1
La1 La 0.500 0.500 0.500 1
Ti1 Ti 0.000 0.500 0.500 1
```



Record 8
Na3LaTi: relaxed, PBE-GGA.

Properties
calculated density = 2.5 g/cm3
energy of formation from the pure elements = 996 meV per atom

CIF file:
```
data_Na3LaTi
_cell_length_a 5.517
_cell_length_b 5.517
_cell_length_c 5.517
_cell_angle_alpha 90.00
_cell_angle_beta 90.00
_cell_angle_gamma 90.00
_symmetry_space_group_name_H-M 'P m -3 m'
_symmetry_Int_Tables_number 221
_symmetry_space_group_name_Hall '-P 4 2 3'
loop_
_atom_site_label
_atom_site_type_symbol
_atom_site_fract_x
_atom_site_fract_y
_atom_site_fract_z
_atom_site_occupancy
Na1 Na 0.000 0.000 0.500 1
La1 La 0.500 0.500 0.500 1
Ti1 Ti 0.000 0.000 0.000 1
```



Record 9
NaLa2Ti: relaxed, PBE-GGA.

Properties
energy above the lowest structure with this stoichiometry = 222 meV/atom
calculated density = 4.7 g/cm3
energy of formation from the pure elements = 626 meV per atom

CIF file:
```
data_NaLa2Ti
_cell_length_a 8.617
_cell_length_b 8.617
_cell_length_c 6.662
_cell_angle_alpha 90.00
_cell_angle_beta 90.00
_cell_angle_gamma 90.00
_symmetry_space_group_name_H-M 'I -4 2 d'
_symmetry_Int_Tables_number 122
_symmetry_space_group_name_Hall 'I -4 2bw'
loop_
_atom_site_label
_atom_site_type_symbol
_atom_site_fract_x
_atom_site_fract_y
_atom_site_fract_z
_atom_site_occupancy
Na1 Na 0.000 0.000 0.000 1
La1 La 0.234 0.250 0.625 1
Ti1 Ti 0.000 0.000 0.500 1
```



Record 10
NaLa2Ti: relaxed, PBE-GGA.

Properties
energy above the lowest structure with this stoichiometry = 0 meV/atom
calculated density = 4.8 g/cm3
energy of formation from the pure elements = 404 meV per atom

CIF file:
```
data_NaLa2Ti
_cell_length_a 7.838
_cell_length_b 7.838
_cell_length_c 7.838
_cell_angle_alpha 90.00
_cell_angle_beta 90.00
_cell_angle_gamma 90.00
_symmetry_space_group_name_H-M 'F m -3 m'
_symmetry_Int_Tables_number 225
_symmetry_space_group_name_Hall '-F 4 2 3'
loop_
_atom_site_label
_atom_site_type_symbol
_atom_site_fract_x
_atom_site_fract_y
_atom_site_fract_z
_atom_site_occupancy
Na1 Na 0.000 0.000 0.000 1
La1 La 0.250 0.250 0.250 1
Ti1 Ti 0.000 0.000 0.500 1
```



Record 11
NaLa2Ti2: relaxed, PBE-GGA.

Properties
calculated density = 4.7 g/cm3
energy of formation from the pure elements = 407 meV per atom

CIF file:
```
data_NaLa2Ti2
_cell_length_a 9.198
_cell_length_b 9.198
_cell_length_c 3.299
_cell_angle_alpha 90.00
_cell_angle_beta 90.00
_cell_angle_gamma 90.00
_symmetry_space_group_name_H-M 'P 4/m b m'
_symmetry_Int_Tables_number 127
_symmetry_space_group_name_Hall '-P 4 2ab'
loop_
_atom_site_label
_atom_site_type_symbol
_atom_site_fract_x
_atom_site_fract_y
_atom_site_fract_z
_atom_site_occupancy
Na1 Na 0.000 0.000 0.000 1
La1 La 0.194 0.306 0.500 1
Ti1 Ti 0.099 0.599 0.000 1
```



Record 12
Na3La2Tl4: relaxed, PBE-GGA.

Properties
energy above the lowest structure with this stoichiometry = 77 meV/atom
calculated density = 7.1 g/cm3
energy of formation from the pure elements = -146 meV per atom

CIF file:
```
data_Na3La2Tl4
_cell_length_a 6.608
_cell_length_b 19.316
_cell_length_c 8.594
_cell_angle_alpha 90.00
_cell_angle_beta 90.00
_cell_angle_gamma 90.00
_symmetry_space_group_name_H-M 'C m c e'
_symmetry_Int_Tables_number 64
_symmetry_space_group_name_Hall '-C 2ac 2'
loop_
_atom_site_label
_atom_site_type_symbol
_atom_site_fract_x
_atom_site_fract_y
_atom_site_fract_z
_atom_site_occupancy
Na1 Na 0.000 0.000 0.000 1
Na2 Na 0.250 0.232 0.250 1
La1 La 0.000 0.094 0.598 1
Tl1 Tl 0.000 0.155 0.965 1
Tl2 Tl 0.250 0.066 0.250 1
```